The following is a PBE calculation of K2LaAl after structural relaxation, from Alexandria.

Summary:
As for the crystal system: monoclinic.

CIF file:
```
data_K2LaAl
_chemical_formula_sum 'K4 La2 Al2'
_symmetry_space_group_name_H-M 'C 1 m 1'
_symmetry_Int_Tables_number 8
_symmetry_space_group_name_Hall 'C -2y'
_cell_length_a 9.808
_cell_length_b 3.833
_cell_length_c 10.119
_cell_angle_alpha 90.00
_cell_angle_beta 95.53
_cell_angle_gamma 90.00
loop_
_atom_site_label
_atom_site_fract_x
_atom_site_fract_y
_atom_site_fract_z
K1 0.000 0.000 0.000
K2 0.222 0.000 0.644
La1 0.271 0.500 0.291
Al1 0.490 0.000 0.417
```

---

The following is a PBE calculation of KLaAl2 after structural relaxation, from Alexandria.

Summary:
The value obtained for the offset from the most stable computed form is 0.11 eV/f.u. As for the crystal system: orthorhombic.

CIF file:
```
data_KLaAl2
_chemical_formula_sum 'K2 La2 Al4'
_symmetry_space_group_name_H-M 'I m m 2'
_symmetry_Int_Tables_number 44
_symmetry_space_group_name_Hall 'I 2 -2'
_cell_length_a 3.464
_cell_length_b 5.675
_cell_length_c 11.737
_cell_angle_alpha 90.00
_cell_angle_beta 90.00
_cell_angle_gamma 90.00
loop_
_atom_site_label
_atom_site_fract_x
_atom_site_fract_y
_atom_site_fract_z
K1 0.000 0.000 0.000
La1 0.000 0.500 0.802
Al1 0.000 0.000 0.555
Al2 0.000 0.500 0.231
```

---

The following is a PBE calculation of K2LaAl after structural relaxation, from Alexandria.

Summary:
As for the crystal system: monoclinic.

CIF file:
```
data_K2LaAl
_chemical_formula_sum 'K4 La2 Al2'
_symmetry_space_group_name_H-M 'C 1 2/m 1'
_symmetry_Int_Tables_number 12
_symmetry_space_group_name_Hall '-C 2y'
_cell_length_a 6.862
_cell_length_b 13.904
_cell_length_c 3.845
_cell_angle_alpha 90.00
_cell_angle_beta 122.70
_cell_angle_gamma 90.00
loop_
_atom_site_label
_atom_site_fract_x
_atom_site_fract_y
_atom_site_fract_z
K1 0.250 0.250 0.000
La1 0.000 0.000 0.500
Al1 0.000 0.500 0.500
```

---

The following is a PBE calculation of KLaAl after structural relaxation, from Alexandria.

Summary:
The value obtained for the offset from the most stable computed form is 0.80 eV/f.u. As for the crystal system: cubic.

CIF file:
```
data_KLaAl
_chemical_formula_sum 'K4 La4 Al4'
_symmetry_space_group_name_H-M 'F -4 3 m'
_symmetry_Int_Tables_number 216
_symmetry_space_group_name_Hall 'F -4 2 3'
_cell_length_a 7.776
_cell_length_b 7.776
_cell_length_c 7.776
_cell_angle_alpha 90.00
_cell_angle_beta 90.00
_cell_angle_gamma 90.00
loop_
_atom_site_label
_atom_site_fract_x
_atom_site_fract_y
_atom_site_fract_z
K1 0.000 0.000 0.000
La1 0.000 0.000 0.500
Al1 0.250 0.250 0.750
```

---

The following is a PBE calculation of KLaAl2 after structural relaxation, from Alexandria.

Summary:
The value obtained for the offset from the most stable computed form is 0.72 eV/f.u. As for the crystal system: monoclinic.

CIF file:
```
data_KLaAl2
_chemical_formula_sum 'K2 La2 Al4'
_symmetry_space_group_name_H-M 'C 1 2/m 1'
_symmetry_Int_Tables_number 12
_symmetry_space_group_name_Hall '-C 2y'
_cell_length_a 10.498
_cell_length_b 3.635
_cell_length_c 7.757
_cell_angle_alpha 90.00
_cell_angle_beta 102.21
_cell_angle_gamma 90.00
loop_
_atom_site_label
_atom_site_fract_x
_atom_site_fract_y
_atom_site_fract_z
K1 0.000 0.000 0.000
La1 0.000 0.500 0.500
Al1 0.248 0.000 0.649
```

---

The following is a PBE calculation of KLaAl2 after structural relaxation, from Alexandria.

Summary:
The value obtained for the offset from the most stable computed form is 0.87 eV/f.u. As for the crystal system: tetragonal.

CIF file:
```
data_KLaAl2
_chemical_formula_sum 'K2 La2 Al4'
_symmetry_space_group_name_H-M 'I -4 m 2'
_symmetry_Int_Tables_number 119
_symmetry_space_group_name_Hall 'I -4 -2'
_cell_length_a 4.860
_cell_length_b 4.860
_cell_length_c 9.496
_cell_angle_alpha 90.00
_cell_angle_beta 90.00
_cell_angle_gamma 90.00
loop_
_atom_site_label
_atom_site_fract_x
_atom_site_fract_y
_atom_site_fract_z
K1 0.000 0.000 0.000
La1 0.000 0.500 0.750
Al1 0.000 0.000 0.500
Al2 0.000 0.500 0.250
```

---

The following is a PBE calculation of K3LaAl after structural relaxation, from Alexandria.

Summary:
As for the crystal system: cubic.

CIF file:
```
data_K3LaAl
_chemical_formula_sum 'K3 La1 Al1'
_symmetry_space_group_name_H-M 'P m -3 m'
_symmetry_Int_Tables_number 221
_symmetry_space_group_name_Hall '-P 4 2 3'
_cell_length_a 6.882
_cell_length_b 6.882
_cell_length_c 6.882
_cell_angle_alpha 90.00
_cell_angle_beta 90.00
_cell_angle_gamma 90.00
loop_
_atom_site_label
_atom_site_fract_x
_atom_site_fract_y
_atom_site_fract_z
K1 0.000 0.000 0.500
La1 0.000 0.000 0.000
Al1 0.500 0.500 0.500
```

---

The following is a PBE calculation of KLaAl after structural relaxation, from Alexandria.

Summary:
The value obtained for the offset from the most stable computed form is 0.47 eV/f.u. As for the crystal system: hexagonal.

CIF file:
```
data_KLaAl
_chemical_formula_sum 'K1 La1 Al1'
_symmetry_space_group_name_H-M 'P -6 m 2'
_symmetry_Int_Tables_number 187
_symmetry_space_group_name_Hall 'P -6 2'
_cell_length_a 5.7123
_cell_length_b 5.7123
_cell_length_c 3.1841
_cell_angle_alpha 90.00
_cell_angle_beta 90.00
_cell_angle_gamma 120.00
loop_
_atom_site_label
_atom_site_fract_x
_atom_site_fract_y
_atom_site_fract_z
K1 0.0000 0.0000 0.0000
La1 0.6667 0.3333 0.0000
Al1 0.3333 0.6667 0.5000
```

---

The following is a PBE calculation of KLa2Al2 after structural relaxation, from Alexandria.

Summary:
The value obtained for the offset from the most stable computed form is 0.00 eV/f.u. As for the crystal system: tetragonal.

CIF file:
```
data_KLa2Al2
_chemical_formula_sum 'K2 La4 Al4'
_symmetry_space_group_name_H-M 'P 4/m b m'
_symmetry_Int_Tables_number 127
_symmetry_space_group_name_Hall '-P 4 2ab'
_cell_length_a 9.344
_cell_length_b 9.344
_cell_length_c 3.572
_cell_angle_alpha 90.00
_cell_angle_beta 90.00
_cell_angle_gamma 90.00
loop_
_atom_site_label
_atom_site_fract_x
_atom_site_fract_y
_atom_site_fract_z
K1 0.000 0.000 0.000
La1 0.175 0.325 0.500
Al1 0.109 0.609 0.000
```

---

The following is a PBE calculation of K2LaAl after structural relaxation, from Alexandria.

Summary:
As for the crystal system: orthorhombic.

CIF file:
```
data_K2LaAl
_chemical_formula_sum 'K2 La1 Al1'
_symmetry_space_group_name_H-M 'P m m m'
_symmetry_Int_Tables_number 47
_symmetry_space_group_name_Hall '-P 2 2'
_cell_length_a 3.440
_cell_length_b 6.422
_cell_length_c 7.036
_cell_angle_alpha 90.00
_cell_angle_beta 90.00
_cell_angle_gamma 90.00
loop_
_atom_site_label
_atom_site_fract_x
_atom_site_fract_y
_atom_site_fract_z
K1 0.000 0.000 0.231
La1 0.500 0.500 0.500
Al1 0.500 0.500 0.000
```

---

The following is a PBE calculation of K2LaAl after structural relaxation, from Alexandria.

Summary:
As for the crystal system: orthorhombic.

CIF file:
```
data_K2LaAl
_chemical_formula_sum 'K2 La1 Al1'
_symmetry_space_group_name_H-M 'P m m m'
_symmetry_Int_Tables_number 47
_symmetry_space_group_name_Hall '-P 2 2'
_cell_length_a 4.260
_cell_length_b 5.391
_cell_length_c 6.663
_cell_angle_alpha 90.00
_cell_angle_beta 90.00
_cell_angle_gamma 90.00
loop_
_atom_site_label
_atom_site_fract_x
_atom_site_fract_y
_atom_site_fract_z
K1 0.000 0.000 0.000
K2 0.500 0.500 0.000
La1 0.000 0.500 0.500
Al1 0.500 0.000 0.500
```

---

The following is a PBE calculation of KLaAl2 after structural relaxation, from Alexandria.

Summary:
The value obtained for the offset from the most stable computed form is 0.94 eV/f.u. As for the crystal system: trigonal.

CIF file:
```
data_KLaAl2
_chemical_formula_sum 'K3 La3 Al6'
_symmetry_space_group_name_H-M 'R -3 m'
_symmetry_Int_Tables_number 166
_symmetry_space_group_name_Hall '-R 3 2"'
_cell_length_a 3.4433
_cell_length_b 3.4433
_cell_length_c 34.1720
_cell_angle_alpha 90.00
_cell_angle_beta 90.00
_cell_angle_gamma 120.00
loop_
_atom_site_label
_atom_site_fract_x
_atom_site_fract_y
_atom_site_fract_z
K1 0.0000 0.0000 0.0000
La1 0.0000 0.0000 0.5000
Al1 0.0000 0.0000 0.2455
```

---

no.,raw total energy (eV for the cell shown)
1,-19.56
2,-26.44
3,-18.64
4,-34.47
5,-25.23
6,-24.92
7,-5.95
8,-8.94
9,-37.46
10,-8.96
11,-9.53
12,-37.16